The following is a DFT calculation (PBE-GGA) of a relaxed Th6TcTe3Ru2 crystal.

Cell: 4.1712 9.0847 9.9921 Å, 109.51 102.05 90.00°
Last column: nearest neighbours and their distance in Å.
Fractional coordinates of all 12 atoms:
Th  0.0102  0.2213  0.0205  2 Tc 2.86, 1 Ru 2.89
Th  0.3454  0.8905  0.6908  1 Tc 2.84, 2 Ru 2.87
Th  0.6546  0.1095  0.3092  1 Tc 2.84, 2 Ru 2.87
Th  0.9898  0.7787  0.9795  2 Tc 2.86, 1 Ru 2.89
Th  0.3221  0.4452  0.6441  3 Ru 2.83-2.85
Th  0.6779  0.5548  0.3559  3 Ru 2.83-2.85
Ru  0.1678  0.3349  0.3357  6 Th 2.83-2.89
Ru  0.8322  0.6651  0.6643  6 Th 2.83-2.89
Te  0.1668  0.8330  0.3336  6 Th 3.32-3.35
Te  0.5000  0.5000  0.0000  6 Th 3.34
Te  0.8332  0.1670  0.6664  6 Th 3.32-3.35
Tc  0.5000  0.0000  0.0000  6 Th 2.84-2.86

Summary:
The space group is C2/m, No. 12. The uncorrected formation energy is -796 meV per atom.